# BaMo2Ru | Alexandria via LeMat-Bulk | PBE | relaxed
# Theoretical density in g/cm³: 9.66
# Crystal system: cubic
# Spin magnetization in μB per cell: 0.00
# Excess energy over the best structure of this formula in the dataset in meV per atom: 544
data_BaMo2Ru
_chemical_formula_sum 'Ba4 Mo8 Ru4'
_space_group_name_H-M_alt 'F m -3 m'
_space_group_IT_number 225
_space_group_name_Hall '-F 4 2 3'
_cell_length_a 6.6623
_cell_length_b 6.6623
_cell_length_c 6.6623
_cell_angle_alpha 90.00
_cell_angle_beta 90.00
_cell_angle_gamma 90.00
loop_
_atom_site_label
_atom_site_fract_x
_atom_site_fract_y
_atom_site_fract_z
Ba1 0.0000 0.0000 0.0000
Mo1 0.2500 0.2500 0.2500
Ru1 0.0000 0.0000 0.5000

# TmMgCuRu | Alexandria via LeMat-Bulk | PBE | relaxed
# Theoretical density in g/cm³: 8.48
# Crystal system: cubic
# Spin magnetization in μB per cell: 0.00
data_TmMgCuRu
_chemical_formula_sum 'Tm4 Mg4 Cu4 Ru4'
_space_group_name_H-M_alt 'F -4 3 m'
_space_group_IT_number 216
_space_group_name_Hall 'F -4 2 3'
_cell_length_a 6.5445
_cell_length_b 6.5445
_cell_length_c 6.5445
_cell_angle_alpha 90.00
_cell_angle_beta 90.00
_cell_angle_gamma 90.00
loop_
_atom_site_label
_atom_site_fract_x
_atom_site_fract_y
_atom_site_fract_z
Tm1 0.0000 0.0000 0.0000
Mg1 0.0000 0.0000 0.5000
Cu1 0.2500 0.2500 0.7500
Ru1 0.2500 0.2500 0.2500

Number 1: ΔH_f (0 K) 1187 meV per atom. Number 2: ΔH_f (0 K) -190 meV per atom.